Record 1
The following is a PBE-GGA calculation of a relaxed structure of Pr4Tm5Mg2, from Alexandria via LeMat-Bulk.

Unit cell a=3.5307 b=8.2124 c=12.1442 alpha=89.49 beta=89.99 gamma=77.62
Closest atoms and distances in Å follow each position.
Element x y z (fractional)
Pr 0.0578 0.3861 0.2993  4 Mg 3.48-3.52, 4 Pr 3.53-3.83, 5 Tm 3.61-3.74
Pr 0.3659 0.7692 0.1781  7 Tm 3.42-3.56, 1 Mg 3.45, 3 Pr 3.53-3.83
Pr 0.6341 0.2308 0.8219  7 Tm 3.42-3.56, 1 Mg 3.45, 3 Pr 3.53-3.83
Pr 0.9422 0.6139 0.7007  4 Mg 3.48-3.52, 4 Pr 3.53-3.83, 5 Tm 3.61-3.74
Tm 0.0000 0.5000 0.0000  6 Tm 3.53-3.61, 6 Pr 3.54-3.74
Tm 0.2538 0.9908 0.6266  3 Mg 3.25-3.33, 5 Tm 3.50-3.55, 4 Pr 3.54-3.61
Tm 0.3170 0.8655 0.9034  5 Pr 3.42-3.65, 7 Tm 3.50-3.66
Tm 0.6830 0.1345 0.0966  5 Pr 3.42-3.65, 7 Tm 3.50-3.66
Tm 0.7462 0.0092 0.3734  3 Mg 3.25-3.33, 5 Tm 3.50-3.55, 4 Pr 3.54-3.61
Mg 0.4125 0.6794 0.4566  1 Mg 3.06, 3 Tm 3.25-3.33
Mg 0.5875 0.3206 0.5434  1 Mg 3.06, 3 Tm 3.25-3.33

Output
Total magnetization in μB per formula unit: 0.0
ΔE_f in eV/atom: 0.0118
DOS(E_F) in states/eV/f.u.: 13.6
VASP energy in eV/atom: -4.05
SG: No. 2

***

Record 2
The following is a PBE-GGA calculation of a relaxed structure of Pr8Tm2Mg, from Alexandria via LeMat-Bulk.

Unit cell a=8.5222 b=8.5222 c=5.5272 alpha=90.09 beta=90.09 gamma=103.71
Closest atoms and distances in Å follow each position.
Element x y z (fractional)
Pr 0.0000 0.0000 0.0000  7 Pr 3.44-3.79, 1 Mg 3.55, 4 Tm 3.63-3.64
Pr 0.0335 0.3096 0.4991  7 Pr 3.47-3.79, 2 Tm 3.54-3.68, 2 Mg 3.75
Pr 0.0828 0.5897 0.0001  2 Tm 3.24, 1 Mg 3.40, 4 Pr 3.61
Pr 0.3096 0.0335 0.4991  7 Pr 3.47-3.79, 2 Tm 3.54-3.68, 2 Mg 3.75
Pr 0.3630 0.6392 0.5011  7 Pr 3.47-3.79, 2 Tm 3.54-3.67, 2 Mg 3.75
Pr 0.5897 0.0828 0.0001  2 Tm 3.24, 1 Mg 3.40, 4 Pr 3.61
Pr 0.6392 0.3630 0.5011  7 Pr 3.47-3.79, 2 Tm 3.54-3.67, 2 Mg 3.75
Pr 0.6729 0.6729 0.0002  7 Pr 3.44-3.79, 1 Mg 3.54, 4 Tm 3.63-3.64
Tm 0.7161 0.9566 0.5001  1 Tm 3.22, 4 Pr 3.24-3.54
Tm 0.9566 0.7161 0.5001  1 Tm 3.22, 4 Pr 3.24-3.54
Mg 0.3369 0.3369 0.0001  12 Pr 3.40-3.75

Output
Total magnetization in μB per formula unit: 0.0
ΔE_f in eV/atom: 0.1376
ΔE to the lowest computed polymorph in meV/atom: 0
DOS(E_F) in states/eV/f.u.: 17.2
VASP energy in eV/atom: -4.30
SG: No. 8